Density functional theory data (GGA-PBE) for a relaxed structure of Tb6HoTm2Th.

abc: 9.2930 14.8829 9.3030
angles: 90.00 95.00 90.00
Last column: nearest neighbours and their distance in Å.
Space group C2/c (No. 15)
Inequivalent atoms, fractional coordinates:
Tb1 0.0581 0.1745 0.4407 x8  7 Tb 3.42-3.71, 1 Tm 3.44, 2 Th 3.60-3.63
Tb2 0.0947 0.3852 0.6119 x8  4 Tb 3.22-3.52, 3 Tm 3.29-3.43, 2 Ho 3.43
Tb3 0.2125 0.2212 0.8143 x8  2 Tb 3.22-3.57, 1 Tm 3.38, 1 Ho 3.42, 1 Th 3.43
Ho1 0.0000 0.4119 0.2500 x4  6 Tb 3.42-3.43, 2 Tm 3.48
Tm1 0.2467 0.4494 0.9453 x8  6 Tb 3.29-3.61, 2 Th 3.35-3.53, 1 Ho 3.48
Th1 0.0000 0.0347 0.7500 x4  4 Tm 3.35-3.53, 6 Tb 3.43-3.63

Results
- Calculated total energy: -4.72 eV per atom
- ρ: 8.7 g/cm3
- Fermi-level density of states: 58.67 states/eV/cell
- Energy of formation from the pure elements: 0.148 eV per atom
- Crystal system: monoclinic